1.
Material: Ho3ZnSi4
Method: DFT, GGA-PBE
State: relaxed

Geometry as CIF:
```
data_Ho3ZnSi4
_cell_length_a 4.203
_cell_length_b 5.739
_cell_length_c 8.135
_cell_angle_alpha 110.66
_cell_angle_beta 104.97
_cell_angle_gamma 90.00
_space_group_name_H-M_alt 'P 1'
_space_group_IT_number 1
_space_group_name_Hall 'P 1'
loop_
_atom_site_label
_atom_site_type_symbol
_atom_site_fract_x
_atom_site_fract_y
_atom_site_fract_z
Si1 Si 0.376 0.175 0.752
Ho1 Ho 0.000 0.500 0.000
Ho2 Ho 0.810 0.810 0.620
Si2 Si 0.376 0.577 0.752
Si3 Si 0.624 0.825 0.248
Zn1 Zn 0.500 0.000 0.000
Si4 Si 0.624 0.423 0.248
Ho3 Ho 0.190 0.190 0.380
```

Properties
Formation energy without anion corrections in kJ/mol of formula units: -371.1
E in eV/cell: -40.55
Space-group type: Immm
N(E_F) in states/eV per atom: 0.38
Mass density in g/cm³: 6.328



2.
Material: Ho3Zn3Si2
Method: DFT, GGA-PBE
State: relaxed

Geometry as CIF:
```
data_Ho3Zn3Si2
_cell_length_a 4.063
_cell_length_b 5.750
_cell_length_c 15.146
_cell_angle_alpha 90.00
_cell_angle_beta 90.00
_cell_angle_gamma 110.69
_space_group_name_H-M_alt 'P 1'
_space_group_IT_number 1
_space_group_name_Hall 'P 1'
loop_
_atom_site_label
_atom_site_type_symbol
_atom_site_fract_x
_atom_site_fract_y
_atom_site_fract_z
Zn1 Zn 0.422 0.844 0.945
Ho1 Ho 0.417 0.835 0.750
Si1 Si 0.839 0.678 0.883
Ho2 Ho 0.863 0.726 0.407
Ho3 Ho 0.137 0.274 0.907
Zn2 Zn 0.693 0.386 0.750
Ho4 Ho 0.863 0.726 0.093
Ho5 Ho 0.137 0.274 0.593
Zn3 Zn 0.578 0.156 0.445
Si2 Si 0.839 0.678 0.617
Si3 Si 0.161 0.322 0.383
Si4 Si 0.161 0.322 0.117
Zn4 Zn 0.422 0.844 0.555
Zn5 Zn 0.307 0.614 0.250
Zn6 Zn 0.578 0.156 0.055
Ho6 Ho 0.583 0.165 0.250
```

Properties
Formation energy without anion corrections in kJ/mol of formula units: -409.8
E in eV/cell: -65.30
Space-group type: Cmcm
N(E_F) in states/eV per atom: 0.47
Mass density in g/cm³: 7.497



- Which value of E does entry 2 give?
  -65.30 eV/cell